No. 1
# PrEr2Tm3Te6

A relaxed PrEr2Tm3Te6 crystal (PBE-GGA, Alexandria via LeMat-Bulk).

Results
Its density of states at the Fermi level is 0.550 states/eV/atom. The raw total energy is -60.92 eV/cell. The magnetization comes out at 0.00 μB/cell.

a b c (Å): 4.305 8.775 9.781
angles (deg): 104.20 102.71 90.00
Element x y z (fractional)
Te 0.674 0.083 0.349
Er 0.162 0.324 0.324
Pr 0.500 0.000 0.000
Te 0.326 0.917 0.651
Te 0.669 0.582 0.337
Te 0.999 0.736 0.998
Te 0.001 0.264 0.002
Tm 0.500 0.500 0.000
Er 0.838 0.676 0.676
Tm 0.840 0.170 0.680
Tm 0.160 0.830 0.320
Te 0.331 0.418 0.663


No. 2
# PrErTm2Te6

A relaxed PrErTm2Te6 crystal (PBE-GGA, Alexandria via LeMat-Bulk).

Results
The raw total energy is -50.56 eV/cell. The magnetization comes out at 0.00 μB/cell.

a b c (Å): 7.726 7.726 8.299
angles (deg): 62.27 62.25 60.00
Element x y z (fractional)
Tm 0.007 0.007 0.980
Pr 0.818 0.818 0.546
Te 0.240 0.911 0.245
Te 0.911 0.604 0.245
Te 0.734 0.122 0.750
Te 0.604 0.240 0.245
Te 0.394 0.734 0.750
Tm 0.509 0.509 0.472
Er 0.322 0.322 0.033
Te 0.122 0.394 0.750